DFT (GGA-PBE) results for PaBiRh2 after structural relaxation.

Cell: 3.547 3.547 6.777 Å, 90.00 90.00 90.00°
Fractional positions:
1 Pa 0.500 0.500 0.000
2 Rh 0.000 0.000 0.793
3 Rh 0.000 0.000 0.207
4 Bi 0.500 0.500 0.500

Calculated values
offset from the most stable computed form = 5 meV/atom
ΔE_f = -472 meV/atom